# 1
A plane-wave DFT calculation with PBE was carried out for crystalline NaMn2I6 at its relaxed geometry.

The total DFT energy (no corrections) is -3.756 eV/atom. As for the relative energy among the computed polymorphs: 0 meV per atom. The calculation puts the uncorrected formation energy at -0.539 eV/atom.

The space group is P-31m (No. 162) and the conventional cell measures 7.2696, 7.2696 and 7.2396 Å, with angles of 90.00, 90.00 and 120.00 degrees. The distinct sites, in fractional coordinates, are Na at (0.0000, 0.0000, 0.0000), Mn at (0.3333, 0.6667, 0.5000) and I at (0.0000, 0.3651, 0.7262).



# 2
A plane-wave DFT calculation with PBE was carried out for crystalline CsCa2ZnPt at its relaxed geometry.

The total DFT energy (no corrections) is -2.695 eV/atom. The formation energy comes out at -0.26 eV per atom.

The space group is P4/mmm (No. 123) and the conventional cell measures 5.7210, 5.7210 and 5.1566 Å, with angles of 90.00, 90.00 and 90.00 degrees. The distinct sites, in fractional coordinates, are Cs at (0.0000, 0.0000, 0.0000), Ca at (0.0000, 0.5000, 0.5000), Zn at (0.5000, 0.5000, 0.0000) and Pt at (0.5000, 0.5000, 0.5000).



- What is the total DFT energy (no corrections) in the second record?
  -2.695 eV/atom